(1)
Entry from the Alexandria database: crystalline Nd4Y3Tm at its relaxed geometry (PBE).

Cell: 6.3418 7.3529 11.6025 Å, 90.00 90.00 90.00°
Fractional coordinates of all 16 atoms:
Nd 0.1521 0.8733 0.0000
Nd 0.6454 0.1265 0.0000
Nd 0.9814 0.1272 0.2471
Nd 0.4814 0.8728 0.2529
Nd 0.1454 0.8735 0.5000
Nd 0.6521 0.1267 0.5000
Nd 0.4814 0.8728 0.7471
Nd 0.9814 0.1272 0.7529
Y 0.6473 0.6229 0.0000
Y 0.9809 0.6219 0.2500
Y 0.4809 0.3781 0.2500
Y 0.1473 0.3771 0.5000
Y 0.4809 0.3781 0.7500
Y 0.9809 0.6219 0.7500
Tm 0.1458 0.3792 0.0000
Tm 0.6458 0.6208 0.5000

Summary:
E, eV/atom: -5.343
Symmetry: Pmn2_1 (31)
DFT formation energy, eV/atom: 0.02

***

(2)
Entry from the Alexandria database: crystalline Cd2TeO at its relaxed geometry (PBE).

Cell: 4.8640 4.8640 4.8640 Å, 60.00 60.00 60.00°
Each line ends with the local moment (μB).
Fractional coordinates of all 4 atoms:
Te 0.5000 0.5000 0.5000  -0.01
O 0.0000 0.0000 0.0000  -0.17
Cd 0.2500 0.2500 0.2500  0.01
Cd 0.7500 0.7500 0.7500  0.01

Summary:
E, eV/atom: -2.417
Symmetry: Fm-3m (225)
Formation energy from raw total energies, eV/atom: 0.066

***

(3)
Entry from the Alexandria database: crystalline Pm2Tm4Pb3O2 at its relaxed geometry (PBE).

Cell: 4.6230 4.6230 13.1871 Å, 100.10 100.10 90.00°
Fractional coordinates of all 11 atoms:
Pm 0.3052 0.3052 0.6104
Pm 0.6948 0.6948 0.3896
Tm 0.4175 0.9175 0.8350
Tm 0.9175 0.4175 0.8350
Tm 0.0825 0.5825 0.1650
Tm 0.5825 0.0825 0.1650
Pb 0.0000 0.0000 0.0000
Pb 0.1756 0.1756 0.3511
Pb 0.8244 0.8244 0.6489
O 0.4080 0.4080 0.8159
O 0.5920 0.5920 0.1841

Summary:
E, eV/atom: -5.809
Symmetry: I4/mmm (139)
Formation energy from raw total energies, eV/atom: -1.406

***

| no. | DOS(E_F) (states/eV per atom) | total magnetic moment (μB/cell) |
| --- | --- | --- |
| 1 | 1.89 | 0.001 |
| 2 | 0.58 | 0.179 |
| 3 | 0.68 | 0.000 |